(1)
Density functional theory data (GGA-PBE) for a relaxed structure of CdPBr.

D(E_F) (states/eV/f.u.): 1.27
Uncorrected formation energy (eV per formula unit): 2.7
Energy above the most stable polymorph in this dataset (eV/atom): 1.188

Lattice parameters (Å, degrees): 4.9561 4.9561 4.9561 60.00 60.00 60.00
Element x y z (fractional)
Br: 0.7500 0.7500 0.7500
Cd: 0.0000 0.0000 0.0000
P: 0.5000 0.5000 0.5000

(2)
Density functional theory data (GGA-PBE) for a relaxed structure of Tb15Er4Al.

D(E_F) (states/eV/f.u.): 24.69
ΔE_f (eV per atom): -0.01

Lattice parameters (Å, degrees): 4.9521 4.9521 25.0377 90.00 90.00 90.00
Element x y z (fractional)
Tb: 0.5000 0.5000 0.0000
Tb: 0.5000 0.5000 0.1944
Tb: 0.5000 0.5000 0.3980
Tb: 0.5000 0.5000 0.6020
Tb: 0.5000 0.5000 0.8056
Tb: 0.5000 0.0000 0.0940
Tb: 0.5000 0.0000 0.2970
Tb: 0.5000 0.0000 0.5000
Tb: 0.5000 0.0000 0.7030
Tb: 0.5000 0.0000 0.9060
Tb: 0.0000 0.5000 0.0940
Tb: 0.0000 0.5000 0.2970
Tb: 0.0000 0.5000 0.5000
Tb: 0.0000 0.5000 0.7030
Tb: 0.0000 0.5000 0.9060
Er: 0.0000 0.0000 0.1961
Er: 0.0000 0.0000 0.3988
Er: 0.0000 0.0000 0.6012
Er: 0.0000 0.0000 0.8039
Al: 0.0000 0.0000 0.0000

(3)
Density functional theory data (GGA-PBE) for a relaxed structure of CaY2MgHg4.

D(E_F) (states/eV/f.u.): 3.93
ΔE_f (eV per atom): -0.49

Lattice parameters (Å, degrees): 5.1844 5.1844 9.0280 73.31 73.31 60.00
Element x y z (fractional)
Ca: 0.0000 0.0000 0.0000
Y: 0.7536 0.7536 0.7391
Y: 0.2464 0.2464 0.2609
Mg: 0.5000 0.5000 0.5000
Hg: 0.3752 0.3752 0.8745
Hg: 0.8750 0.8750 0.3750
Hg: 0.1250 0.1250 0.6250
Hg: 0.6248 0.6248 0.1255